DFT (PBE) results for a geometry-optimized MnGe2Se6 structure.

The energy relative to the elements, uncorrected comes out at -4.7 kcal/mol of atoms. The value obtained for the spin magnetization is 12.6 μB/cell.

It has space group C2/c (No. 15), with a = 12.1082 Å, b = 11.1224 Å, c = 6.6121 Å, α = 90.00°, β = 100.16° and γ = 90.00°. Symmetry generates all atoms from Mn at (0.0000, 0.1066, 0.2500), Ge at (0.1897, 0.4194, 0.3367), Se at (0.1038, 0.0742, 0.6113), Se at (0.1148, 0.4021, 0.6499) and Se at (0.1299, 0.2457, 0.1306).